Density functional theory data (PBE) for a geometry-optimized RbZrPCl2 structure.

abc: 5.4413 5.4413 5.5607
angles: 90.00 90.00 90.00
Space group P4/mmm (No. 123)
Asymmetric unit:
Rb1 0.0000 0.0000 0.0000 x1
Zr1 0.5000 0.5000 0.5000 x1
P1 0.0000 0.0000 0.5000 x1
Cl1 0.0000 0.5000 0.0000 x2

Computed properties:
As for the excess energy over the best structure of this formula in the dataset: 1926.5 meV/atom. The crystal system is tetragonal. For the calculated volume, the calculation gives 32.9 Å³/atom. The magnetic moment comes out at 0.1 μB/f.u. Its raw formation energy is 3.609 eV/f.u.

Density functional theory data (PBE) for a geometry-optimized ScZn3Cd9 structure.

abc: 5.7377 13.6406 7.3733
angles: 90.00 112.40 90.00
Space group C2/m (No. 12)
Asymmetric unit:
Sc1 0.0000 0.0000 0.0000 x2
Zn1 0.0000 0.5000 0.5000 x2
Zn2 0.2500 0.2500 0.0000 x4
Cd1 0.0000 0.0000 0.5000 x2
Cd2 0.0954 0.3913 0.2117 x8
Cd3 0.1712 0.1737 0.3382 x8

Computed properties:
The formation enthalpy at 0 K comes out at -0.021 eV per atom. The crystal system is monoclinic. For the calculated volume, the calculation gives 20.5 Å³/atom. The magnetic moment comes out at 0.0 μB/f.u.

Density functional theory data (PBE) for a geometry-optimized TaTeSe2 structure.

abc: 19.5823 3.5735 5.9027
angles: 90.00 90.00 90.00
Space group Pnma (No. 62)
Asymmetric unit:
Ta1 0.0808 0.2500 0.1742 x4
Te1 0.1572 0.7500 0.4485 x4
Se1 0.0172 0.2500 0.7617 x4
Se2 0.1556 0.7500 0.9551 x4

Computed properties:
The crystal system is orthorhombic. For the calculated volume, the calculation gives 25.8 Å³/atom. The magnetic moment comes out at 0.0 μB/f.u. Its raw formation energy is -1.937 eV/f.u.

Density functional theory data (PBE) for a geometry-optimized RbTmSb structure.

abc: 4.9471 4.9471 40.6558
angles: 90.00 90.00 120.00
Space group R-3m (No. 166, hexagonal axes)
Asymmetric unit:
Rb1 0.0000 0.0000 0.1123 x6
Tm1 0.0000 0.0000 0.3060 x6
Sb1 0.0000 0.0000 0.3837 x6

Computed properties:
The crystal system is trigonal. For the calculated volume, the calculation gives 47.9 Å³/atom. The magnetic moment comes out at 0.0 μB/f.u. Its raw formation energy is -1.596 eV/f.u.

Density functional theory data (PBE) for a geometry-optimized AgBW3 structure.

abc: 4.7605 4.7605 4.7605
angles: 90.00 90.00 90.00
Space group Pm-3m (No. 221)
Asymmetric unit:
Ag1 0.0000 0.0000 0.0000 x1
B1 0.5000 0.5000 0.5000 x1
W1 0.0000 0.0000 0.5000 x3

Computed properties:
As for the excess energy over the best structure of this formula in the dataset: 3232.0 meV/atom. The formation enthalpy at 0 K comes out at 3.748 eV per atom. The crystal system is cubic. For the calculated volume, the calculation gives 21.6 Å³/atom. The magnetic moment comes out at 0.0 μB/f.u.

Density functional theory data (PBE) for a geometry-optimized CaSc2P2 structure.

abc: 4.2539 4.2539 12.2808
angles: 90.00 90.00 90.00
Space group I4/mmm (No. 139)
Asymmetric unit:
Ca1 0.0000 0.0000 0.0000 x2
Sc1 0.0000 0.5000 0.2500 x4
P1 0.0000 0.0000 0.3750 x4

Computed properties:
As for the excess energy over the best structure of this formula in the dataset: 64.0 meV/atom. The formation enthalpy at 0 K comes out at -0.976 eV per atom. The crystal system is tetragonal. For the calculated volume, the calculation gives 22.2 Å³/atom. The magnetic moment comes out at 0.7 μB/f.u.

Density functional theory data (PBE) for a geometry-optimized ErCuBr4 structure.

abc: 6.9349 3.9622 7.0151
angles: 90.00 95.59 90.00
Space group P2/m (No. 10)
Asymmetric unit:
Er1 0.0000 0.0000 0.0000 x1
Cu1 0.5000 0.5000 0.0000 x1
Br1 0.1625 0.5000 0.2472 x2
Br2 0.3272 0.0000 0.8014 x2

Computed properties:
The crystal system is monoclinic. For the calculated volume, the calculation gives 32.0 Å³/atom. The magnetic moment comes out at 0.0 μB/f.u. Its raw formation energy is -7.552 eV/f.u.

Density functional theory data (PBE) for a geometry-optimized Ca2FePb2 structure.

abc: 7.4220 7.4220 4.9869
angles: 90.00 90.00 90.00
Space group P4/mbm (No. 127)
Asymmetric unit:
Ca1 0.1654 0.3346 0.0000 x4
Fe1 0.0000 0.0000 0.5000 x2
Pb1 0.1509 0.6509 0.5000 x4

Computed properties:
The formation enthalpy at 0 K comes out at -0.082 eV per atom. The crystal system is tetragonal. For the calculated volume, the calculation gives 27.5 Å³/atom. The magnetic moment comes out at 2.5 μB/f.u.

Density functional theory data (PBE) for a geometry-optimized B3MoS structure.

abc: 4.2348 4.2348 4.2348
angles: 90.00 90.00 90.00
Space group Pm-3m (No. 221)
Asymmetric unit:
B1 0.0000 0.0000 0.5000 x3
Mo1 0.0000 0.0000 0.0000 x1
S1 0.5000 0.5000 0.5000 x1

Computed properties:
As for the excess energy over the best structure of this formula in the dataset: 166.6 meV/atom. The crystal system is cubic. For the calculated volume, the calculation gives 15.2 Å³/atom. The magnetic moment comes out at 1.3 μB/f.u. Its raw formation energy is 9.458 eV/f.u.

Density functional theory data (PBE) for a geometry-optimized KCoSi4 structure.

abc: 7.4426 7.4426 7.4426
angles: 90.00 90.00 90.00
Space group F-43m (No. 216)
Asymmetric unit:
K1 0.0000 0.0000 0.0000 x4
Co1 0.2500 0.2500 0.2500 x4
Si1 0.1231 0.1231 0.6231 x16

Computed properties:
The crystal system is cubic. For the calculated volume, the calculation gives 17.2 Å³/atom. The magnetic moment comes out at 2.0 μB/f.u. Its raw formation energy is 3.992 eV/f.u.

Density functional theory data (PBE) for a geometry-optimized PrZnPtAu structure.

abc: 7.7958 4.5059 5.5314
angles: 90.00 118.10 90.00
Space group Cm (No. 8)
Asymmetric unit:
Pr1 0.0000 0.0000 0.0000 x2
Zn1 0.0195 0.5000 0.5586 x2
Pt1 0.2142 0.0000 0.6431 x2
Au1 0.2862 0.5000 0.3593 x2

Computed properties:
As for the excess energy over the best structure of this formula in the dataset: 0.0 meV/atom. The formation enthalpy at 0 K comes out at -0.749 eV per atom. The crystal system is monoclinic. For the calculated volume, the calculation gives 21.4 Å³/atom. The magnetic moment comes out at 0.0 μB/f.u.

Density functional theory data (PBE) for a geometry-optimized UZnPd structure.

abc: 4.6499 4.6499 2.9652
angles: 90.00 90.00 120.00
Space group P-6m2 (No. 187)
Asymmetric unit:
U1 0.0000 0.0000 0.0000 x1
Zn1 0.6667 0.3333 0.5000 x1
Pd1 0.3333 0.6667 0.5000 x1

Computed properties:
The formation enthalpy at 0 K comes out at -0.233 eV per atom. The crystal system is hexagonal. For the calculated volume, the calculation gives 18.5 Å³/atom. The magnetic moment comes out at 2.2 μB/f.u.

Density functional theory data (PBE) for a geometry-optimized La2Ga12Cu structure.

abc: 6.2176 6.2176 15.4218
angles: 90.00 90.00 90.00
Space group P4/nbm (No. 125, origin choice 2)
Asymmetric unit:
La1 0.2500 0.7500 0.2446 x4
Ga1 0.0004 0.9996 0.0850 x8
Ga2 0.0775 0.5775 0.4300 x8
Ga3 0.2500 0.2500 0.1801 x4
Ga4 0.2500 0.2500 0.3424 x4
Cu1 0.2500 0.7500 0.0000 x2

Computed properties:
The formation enthalpy at 0 K comes out at -0.387 eV per atom. The crystal system is tetragonal. For the calculated volume, the calculation gives 19.9 Å³/atom. The magnetic moment comes out at 0.0 μB/f.u.

Density functional theory data (PBE) for a geometry-optimized ZrAlGaAu structure.

abc: 3.9977 4.1243 4.3231
angles: 90.00 90.00 90.00
Space group Pmmm (No. 47)
Asymmetric unit:
Zr1 0.0000 0.0000 0.0000 x1
Al1 0.5000 0.0000 0.5000 x1
Ga1 0.5000 0.5000 0.0000 x1
Au1 0.0000 0.5000 0.5000 x1

Computed properties:
The formation enthalpy at 0 K comes out at -0.547 eV per atom. The crystal system is orthorhombic. For the calculated volume, the calculation gives 17.8 Å³/atom. The magnetic moment comes out at 0.0 μB/f.u.

Density functional theory data (PBE) for a geometry-optimized DyEr2Al3 structure.

abc: 3.5660 3.5660 10.7944
angles: 90.00 90.00 90.00
Space group P4/mmm (No. 123)
Asymmetric unit:
Dy1 0.0000 0.0000 0.0000 x1
Er1 0.0000 0.0000 0.3347 x2
Al1 0.5000 0.5000 0.1698 x2
Al2 0.5000 0.5000 0.5000 x1

Computed properties:
As for the excess energy over the best structure of this formula in the dataset: 0.0 meV/atom. The formation enthalpy at 0 K comes out at -0.396 eV per atom. The crystal system is tetragonal. For the calculated volume, the calculation gives 22.9 Å³/atom. The magnetic moment comes out at 0.0 μB/f.u.

Density functional theory data (PBE) for a geometry-optimized Tb2Dy3In structure.

abc: 4.8661 15.0788 4.8721
angles: 90.00 90.00 90.00
Space group Cmmm (No. 65)
Asymmetric unit:
Tb1 0.0000 0.1618 0.0000 x4
Dy1 0.0000 0.0000 0.5000 x2
Dy2 0.0000 0.3326 0.5000 x4
In1 0.0000 0.5000 0.0000 x2

Computed properties:
As for the excess energy over the best structure of this formula in the dataset: 0.0 meV/atom. The formation enthalpy at 0 K comes out at -0.159 eV per atom. The crystal system is orthorhombic. For the calculated volume, the calculation gives 29.8 Å³/atom. The magnetic moment comes out at 0.0 μB/f.u.

Density functional theory data (PBE) for a geometry-optimized NaDy2Pa structure.

abc: 3.4026 3.4026 37.0086
angles: 90.00 90.00 120.00
Space group R-3m (No. 166, hexagonal axes)
Asymmetric unit:
Na1 0.0000 0.0000 0.0000 x3
Dy1 0.0000 0.0000 0.0936 x6
Pa1 0.0000 0.0000 0.5000 x3

Computed properties:
The formation enthalpy at 0 K comes out at 0.206 eV per atom. The crystal system is trigonal. For the calculated volume, the calculation gives 30.9 Å³/atom. The magnetic moment comes out at 0.0 μB/f.u.

Density functional theory data (PBE) for a geometry-optimized BaNdSb2 structure.

abc: 4.5879 4.5879 25.2350
angles: 90.00 90.00 120.00
Space group R3m (No. 160, hexagonal axes)
Asymmetric unit:
Ba1 0.0000 0.0000 0.0000 x3
Nd1 0.0000 0.0000 0.8285 x3
Sb1 0.0000 0.0000 0.2367 x3
Sb2 0.0000 0.0000 0.4242 x3

Computed properties:
As for the excess energy over the best structure of this formula in the dataset: 44.2 meV/atom. The crystal system is trigonal. For the calculated volume, the calculation gives 38.3 Å³/atom. The magnetic moment comes out at 0.0 μB/f.u. Its raw formation energy is -3.686 eV/f.u.